Compound: FeSbF2
Source: Alexandria via LeMat-Bulk
Functional: PBE with a Hubbard U
Structure: optimized geometry

extended XYZ file:
```
4
Lattice="4.232 -4.956 7.037 2.880 -7.343 5.457 5.701 -6.235 4.542" Properties=species:S:1:pos:R:3 pbc="T T T"
Sb 0.000 0.000 0.000
Fe 6.406 -9.267 8.518
F 11.151 -16.130 14.826
F 1.662 -2.404 2.210
```

Calculated values
DFT total energy = -4.74 eV/atom
Volume = 20.43 Å³/atom
Theoretical density = 4.38 g/cm3